(1)
Here is a relaxed structure of NdTh2Ni6 from the Alexandria database. Energies are from PBE-GGA.

```
data_NdTh2Ni6
_space_group_name_H-M_alt 'P 1'
_space_group_IT_number 1
_cell_length_a 7.6377
_cell_length_b 7.6377
_cell_length_c 7.6377
_cell_angle_alpha 152.41
_cell_angle_beta 125.03
_cell_angle_gamma 62.60
loop_
_space_group_symop_operation_xyz
'x,y,z'
loop_
_atom_site_label
_atom_site_fract_x
_atom_site_fract_y
_atom_site_fract_z
Nd1 0.0000 0.0000 0.0000
Th1 0.3536 0.8536 0.5000
Th2 0.6464 0.1464 0.5000
Ni1 0.0180 0.3264 0.6916
Ni2 0.3230 0.5000 0.8230
Ni3 0.3651 0.6736 0.6916
Ni4 0.6349 0.3264 0.3084
Ni5 0.6770 0.5000 0.1770
Ni6 0.9820 0.6736 0.3084
```

Relative energy among the computed polymorphs   0.160 eV per atom
Symmetry   No. 71
Formation energy from the elements   -0.229 eV per atom
Total magnetization   0.0 μB per cell

(2)
Here is a relaxed structure of NdThNi17 from the Alexandria database. Energies are from PBE-GGA.

```
data_NdThNi17
_space_group_name_H-M_alt 'P 1'
_space_group_IT_number 1
_cell_length_a 6.2975
_cell_length_b 6.2975
_cell_length_c 6.2975
_cell_angle_alpha 83.12
_cell_angle_beta 83.12
_cell_angle_gamma 83.12
loop_
_space_group_symop_operation_xyz
'x,y,z'
loop_
_atom_site_label
_atom_site_fract_x
_atom_site_fract_y
_atom_site_fract_z
Nd1 0.0000 0.0000 0.0000
Th1 0.3214 0.3214 0.3214
Ni1 0.0060 0.0060 0.5065
Ni2 0.0060 0.5065 0.0060
Ni3 0.1602 0.6618 0.6618
Ni4 0.3170 0.3170 0.8128
Ni5 0.3170 0.8128 0.3170
Ni6 0.3708 0.6601 0.9520
Ni7 0.3708 0.9520 0.6601
Ni8 0.5065 0.0060 0.0060
Ni9 0.5609 0.5609 0.5609
Ni10 0.6601 0.3708 0.9520
Ni11 0.6601 0.9520 0.3708
Ni12 0.6618 0.1602 0.6618
Ni13 0.6618 0.6618 0.1602
Ni14 0.7585 0.7585 0.7585
Ni15 0.8128 0.3170 0.3170
Ni16 0.9520 0.3708 0.6601
Ni17 0.9520 0.6601 0.3708
```

Symmetry   No. 160
Formation energy from the elements   -0.203 eV per atom
Total magnetization   6.2 μB per cell

(3)
Here is a relaxed structure of NdTh2Ni9 from the Alexandria database. Energies are from PBE-GGA.

```
data_NdTh2Ni9
_space_group_name_H-M_alt 'P 1'
_space_group_IT_number 1
_cell_length_a 8.8136
_cell_length_b 8.8136
_cell_length_c 8.8136
_cell_angle_alpha 33.15
_cell_angle_beta 33.15
_cell_angle_gamma 33.15
loop_
_space_group_symop_operation_xyz
'x,y,z'
loop_
_atom_site_label
_atom_site_fract_x
_atom_site_fract_y
_atom_site_fract_z
Nd1 0.0000 0.0000 0.0000
Th1 0.1364 0.1364 0.1364
Th2 0.8636 0.8636 0.8636
Ni1 0.0808 0.5827 0.5827
Ni2 0.3330 0.3330 0.3330
Ni3 0.4173 0.4173 0.9192
Ni4 0.4173 0.9192 0.4173
Ni5 0.5000 0.5000 0.5000
Ni6 0.5827 0.0808 0.5827
Ni7 0.5827 0.5827 0.0808
Ni8 0.6670 0.6670 0.6670
Ni9 0.9192 0.4173 0.4173
```

Symmetry   No. 166
Formation energy from the elements   -0.383 eV per atom
Total magnetization   0.0 μB per cell